RbZrCu2I8 | GGA-PBE | optimized geometry

a = 11.9438 Å, b = 8.0752 Å, c = 10.5806 Å
α = 90.00°, β = 95.40°, γ = 90.00°
Closest atoms and distances in Å follow each position.
Space group C2/m (No. 12)
Inequivalent atoms, fractional coordinates:
1 Rb 0.0000 0.0000 0.0000  6 I 3.80-3.81
2 Zr 0.0000 0.0000 0.5000  6 I 2.87-2.89
3 Cu 0.1331 0.5000 0.2821  4 I 2.50-2.70
4 I 0.0142 0.2502 0.6962  1 Cu 2.70, 1 Zr 2.89
5 I 0.1920 0.5000 0.0615  1 Cu 2.50
6 I 0.2404 0.0000 0.5046  1 Cu 2.60, 1 Zr 2.87

***

CuReI2 | GGA-PBE | optimized geometry

a = 6.2135 Å, b = 6.2135 Å, c = 11.1905 Å
α = 90.00°, β = 90.00°, γ = 90.00°
Closest atoms and distances in Å follow each position.
Space group I-42d (No. 122)
Inequivalent atoms, fractional coordinates:
1 Cu 0.0000 0.0000 0.0000  4 I 2.60
2 Re 0.0000 0.0000 0.5000  4 I 2.61
3 I 0.2495 0.2500 0.1250  2 Cu 2.60, 2 Re 2.61

***

CuReI2 | GGA-PBE | optimized geometry

a = 6.8370 Å, b = 6.8370 Å, c = 6.8370 Å
α = 90.00°, β = 90.00°, γ = 90.00°
Closest atoms and distances in Å follow each position.
Space group Fm-3m (No. 225)
Inequivalent atoms, fractional coordinates:
1 Cu 0.0000 0.0000 0.0000  8 I 2.96
2 Re 0.0000 0.0000 0.5000  8 I 2.96
3 I 0.2500 0.2500 0.2500  4 Re 2.96, 4 Cu 2.96

***

CuRe2I | GGA-PBE | optimized geometry

a = 3.9455 Å, b = 3.9455 Å, c = 19.2387 Å
α = 90.00°, β = 90.00°, γ = 90.00°
Closest atoms and distances in Å follow each position.
Space group I-42d (No. 122)
Inequivalent atoms, fractional coordinates:
1 Cu 0.0000 0.0000 0.0000  4 Re 2.69, 4 I 2.79
2 Re 0.1785 0.2500 0.1250  2 Re 2.42, 2 Cu 2.69
3 I 0.0000 0.0000 0.5000  4 Cu 2.79, 4 Re 2.89

***

CuRe2I | GGA-PBE | optimized geometry

a = 6.3073 Å, b = 6.3073 Å, c = 6.3073 Å
α = 90.00°, β = 90.00°, γ = 90.00°
Closest atoms and distances in Å follow each position.
Space group Fm-3m (No. 225)
Inequivalent atoms, fractional coordinates:
1 Cu 0.0000 0.0000 0.0000  8 Re 2.73
2 Re 0.2500 0.2500 0.2500  4 I 2.73, 4 Cu 2.73
3 I 0.0000 0.0000 0.5000  8 Re 2.73

***

CuReSb2I | GGA-PBE | optimized geometry

a = 5.0651 Å, b = 5.0651 Å, c = 5.9122 Å
α = 90.00°, β = 90.00°, γ = 90.00°
Closest atoms and distances in Å follow each position.
Space group P4/mmm (No. 123)
Inequivalent atoms, fractional coordinates:
1 Cu 0.0000 0.0000 0.0000  4 I 3.58, 8 Sb 3.89
2 Re 0.5000 0.5000 0.5000  4 Sb 2.53
3 Sb 0.0000 0.5000 0.5000  2 Re 2.53
4 I 0.5000 0.5000 0.0000  2 Re 2.96

***

CuReSbI2 | GGA-PBE | optimized geometry

a = 5.5794 Å, b = 5.5794 Å, c = 5.0952 Å
α = 90.00°, β = 90.00°, γ = 90.00°
Closest atoms and distances in Å follow each position.
Space group P4/mmm (No. 123)
Inequivalent atoms, fractional coordinates:
1 Cu 0.0000 0.0000 0.0000  8 I 3.78, 4 Sb 3.95
2 Re 0.5000 0.5000 0.5000  2 Sb 2.55, 4 I 2.79
3 Sb 0.5000 0.5000 0.0000  2 Re 2.55
4 I 0.0000 0.5000 0.5000  2 Re 2.79

***

CuReSbI2 | GGA-PBE | optimized geometry

a = 5.2648 Å, b = 5.2648 Å, c = 5.3340 Å
α = 90.00°, β = 90.00°, γ = 90.00°
Closest atoms and distances in Å follow each position.
Space group P4/mmm (No. 123)
Inequivalent atoms, fractional coordinates:
1 Cu 0.0000 0.0000 0.0000  4 I 2.63, 2 Sb 2.67
2 Re 0.5000 0.5000 0.5000  4 Sb 3.72, 8 I 3.75
3 Sb 0.0000 0.0000 0.5000  2 Cu 2.67
4 I 0.0000 0.5000 0.0000  2 Cu 2.63

***

CuReSb2I | GGA-PBE | optimized geometry

a = 5.0652 Å, b = 5.0652 Å, c = 5.2137 Å
α = 90.00°, β = 90.00°, γ = 90.00°
Closest atoms and distances in Å follow each position.
Space group P4/mmm (No. 123)
Inequivalent atoms, fractional coordinates:
1 Cu 0.0000 0.0000 0.0000  4 Sb 2.53, 2 I 2.61
2 Re 0.5000 0.5000 0.5000  4 I 3.58, 8 Sb 3.63
3 Sb 0.0000 0.5000 0.0000  2 Cu 2.53
4 I 0.0000 0.0000 0.5000  2 Cu 2.61

***

TaCuReI2 | GGA-PBE | optimized geometry

a = 4.9147 Å, b = 4.9147 Å, c = 4.8027 Å
α = 90.00°, β = 90.00°, γ = 90.00°
Closest atoms and distances in Å follow each position.
Space group P4/mmm (No. 123)
Inequivalent atoms, fractional coordinates:
1 Ta 0.0000 0.0000 0.0000  8 I 3.44, 4 Re 3.48
2 Cu 0.5000 0.5000 0.5000  2 Re 2.40, 4 I 2.46
3 Re 0.5000 0.5000 0.0000  2 Cu 2.40
4 I 0.0000 0.5000 0.5000  2 Cu 2.46

***

CuReTeI2 | GGA-PBE | optimized geometry

a = 5.2300 Å, b = 5.2300 Å, c = 5.4909 Å
α = 90.00°, β = 90.00°, γ = 90.00°
Closest atoms and distances in Å follow each position.
Space group P4/mmm (No. 123)
Inequivalent atoms, fractional coordinates:
1 Cu 0.0000 0.0000 0.0000  4 I 2.62, 2 Te 2.75
2 Re 0.5000 0.5000 0.5000  4 Te 3.70, 8 I 3.79
3 Te 0.0000 0.0000 0.5000  2 Cu 2.75
4 I 0.0000 0.5000 0.0000  2 Cu 2.62

***

CuReTeI2 | GGA-PBE | optimized geometry

a = 5.6589 Å, b = 5.6589 Å, c = 5.0366 Å
α = 90.00°, β = 90.00°, γ = 90.00°
Closest atoms and distances in Å follow each position.
Space group P4/mmm (No. 123)
Inequivalent atoms, fractional coordinates:
1 Cu 0.0000 0.0000 0.0000  8 I 3.79, 4 Te 4.00
2 Re 0.5000 0.5000 0.5000  2 Te 2.52
3 Te 0.5000 0.5000 0.0000  2 Re 2.52
4 I 0.0000 0.5000 0.5000  2 Re 2.83

***

ZrCu2ReI | GGA-PBE | optimized geometry

a = 4.8448 Å, b = 4.8448 Å, c = 4.9626 Å
α = 90.00°, β = 90.00°, γ = 90.00°
Closest atoms and distances in Å follow each position.
Space group P4/mmm (No. 123)
Inequivalent atoms, fractional coordinates:
1 Zr 0.0000 0.0000 0.0000  2 Re 2.48
2 Cu 0.0000 0.5000 0.5000  2 Re 2.42
3 Re 0.0000 0.0000 0.5000  4 Cu 2.42, 2 Zr 2.48
4 I 0.5000 0.5000 0.0000  4 Zr 3.43, 8 Cu 3.47

***

Cu2Rh2I | GGA-PBE | optimized geometry

a = 3.7164 Å, b = 3.7164 Å, c = 12.7431 Å
α = 90.00°, β = 90.00°, γ = 90.00°
Closest atoms and distances in Å follow each position.
Space group I4/mmm (No. 139)
Inequivalent atoms, fractional coordinates:
1 Cu 0.0000 0.0000 0.1052  4 Rh 2.62, 1 Cu 2.68
2 Rh 0.0000 0.5000 0.2500  4 Cu 2.62, 4 Rh 2.63
3 I 0.0000 0.0000 0.5000  8 Cu 2.95

***

CuRhI3 | GGA-PBE | optimized geometry

a = 5.4146 Å, b = 5.4146 Å, c = 5.4146 Å
α = 90.00°, β = 90.00°, γ = 90.00°
Closest atoms and distances in Å follow each position.
Space group Pm-3m (No. 221)
Inequivalent atoms, fractional coordinates:
1 Cu 0.0000 0.0000 0.0000  12 I 3.83
2 Rh 0.5000 0.5000 0.5000  6 I 2.71
3 I 0.0000 0.5000 0.5000  2 Rh 2.71

***

CuRhI2 | GGA-PBE | optimized geometry

a = 7.0758 Å, b = 7.0758 Å, c = 7.0758 Å
α = 90.00°, β = 90.00°, γ = 90.00°
Closest atoms and distances in Å follow each position.
Space group Fm-3m (No. 225)
Inequivalent atoms, fractional coordinates:
1 Cu 0.0000 0.0000 0.0000  8 I 3.06
2 Rh 0.0000 0.0000 0.5000  8 I 3.06
3 I 0.2500 0.2500 0.2500  4 Cu 3.06, 4 Rh 3.06

***

CuRhI2 | GGA-PBE | optimized geometry

a = 6.0446 Å, b = 6.0446 Å, c = 12.1173 Å
α = 90.00°, β = 90.00°, γ = 90.00°
Closest atoms and distances in Å follow each position.
Space group I-42d (No. 122)
Inequivalent atoms, fractional coordinates:
1 Cu 0.0000 0.0000 0.0000  4 I 2.61
2 Rh 0.0000 0.0000 0.5000  4 I 2.62
3 I 0.2485 0.2500 0.1250  2 Cu 2.61, 2 Rh 2.62

***

Cu3RhI9 | GGA-PBE | optimized geometry

a = 20.4324 Å, b = 9.1823 Å, c = 13.2031 Å
α = 90.00°, β = 128.08°, γ = 90.00°
Closest atoms and distances in Å follow each position.
Space group Cc (No. 9)
Inequivalent atoms, fractional coordinates:
1 Cu 0.0000 0.0367 0.0000  4 I 2.53-2.69
2 Cu 0.0994 0.4057 0.9359  4 I 2.55-2.71
3 Cu 0.3513 0.0919 0.5928  4 I 2.53-2.69
4 Rh 0.2305 0.2604 0.7720  6 I 2.69-2.75
5 I 0.0017 0.3614 0.3027  2 Cu 2.61-2.71
6 I 0.0068 0.1799 0.8416  2 Cu 2.55
7 I 0.1124 0.4637 0.6195  1 Cu 2.57, 1 Rh 2.71
8 I 0.1190 0.0569 0.7209  1 Cu 2.53, 1 Rh 2.69
9 I 0.2220 0.1371 0.5740  1 Cu 2.53, 1 Rh 2.75
10 I 0.2350 0.3784 0.9648  1 Cu 2.57, 1 Rh 2.72
11 I 0.3447 0.4472 0.8071  1 Cu 2.69, 1 Rh 2.70
12 I 0.3567 0.0841 0.9478  1 Cu 2.56, 1 Rh 2.70
13 I 0.4092 0.3331 0.5564  2 Cu 2.67-2.69

***

CuRhI4 | GGA-PBE | optimized geometry

a = 7.9511 Å, b = 8.0036 Å, c = 11.8868 Å
α = 90.00°, β = 90.00°, γ = 90.00°
Closest atoms and distances in Å follow each position.
Space group Imma (No. 74)
Inequivalent atoms, fractional coordinates:
1 Cu 0.2500 0.2500 0.2500  6 I 2.77-3.01
2 Rh 0.0000 0.0000 0.0000  6 I 2.71-2.72
3 I 0.0000 0.0109 0.2279  1 Rh 2.71, 2 Cu 2.77
4 I 0.2314 0.2500 0.9972  2 Rh 2.72, 1 Cu 3.01

***

Cu2RhI8 | GGA-PBE | optimized geometry

a = 15.1355 Å, b = 8.9711 Å, c = 6.6216 Å
α = 90.00°, β = 106.77°, γ = 90.00°
Closest atoms and distances in Å follow each position.
Space group C2/m (No. 12)
Inequivalent atoms, fractional coordinates:
1 Cu 0.1695 0.0000 0.1857  4 I 2.50-2.61
2 Rh 0.0000 0.0000 0.5000  6 I 2.68-2.74
3 I 0.0683 0.2045 0.2896  1 Cu 2.61, 1 Rh 2.68
4 I 0.1587 0.5000 0.6709  1 Cu 2.50
5 I 0.1689 0.0000 0.7972  1 Cu 2.57, 1 Rh 2.74

***

Cu2Rh2I | GGA-PBE | optimized geometry

a = 6.8937 Å, b = 6.8937 Å, c = 3.3437 Å
α = 90.00°, β = 90.00°, γ = 90.00°
Closest atoms and distances in Å follow each position.
Space group P4/mbm (No. 127)
Inequivalent atoms, fractional coordinates:
1 Cu 0.1291 0.3709 0.0000  1 Cu 2.52, 6 Rh 2.62-2.64, 2 I 2.71
2 Rh 0.1615 0.6615 0.5000  6 Cu 2.62-2.64
3 I 0.0000 0.0000 0.0000  4 Cu 2.71

***

CuSbRhI2 | GGA-PBE | optimized geometry

a = 5.5845 Å, b = 5.5845 Å, c = 4.9493 Å
α = 90.00°, β = 90.00°, γ = 90.00°
Closest atoms and distances in Å follow each position.
Space group P4/mmm (No. 123)
Inequivalent atoms, fractional coordinates:
1 Cu 0.0000 0.0000 0.0000  8 I 3.73, 4 Sb 3.95
2 Sb 0.5000 0.5000 0.0000  2 Rh 2.47
3 Rh 0.5000 0.5000 0.5000  2 Sb 2.47
4 I 0.0000 0.5000 0.5000  2 Rh 2.79

***

Sm8CuRh3I4 | GGA-PBE | optimized geometry

a = 8.3155 Å, b = 8.3155 Å, c = 24.1318 Å
α = 90.00°, β = 90.00°, γ = 120.00°
Closest atoms and distances in Å follow each position.
Space group R-3m (No. 166, hexagonal axes)
Inequivalent atoms, fractional coordinates:
1 Sm 0.0000 0.0000 0.2290  3 Rh 2.83
2 Sm 0.0061 0.5031 0.7721  2 Rh 2.80, 1 Cu 2.86
3 Cu 0.0000 0.0000 0.5000  6 Sm 2.86
4 Rh 0.0000 0.5000 0.5000  6 Sm 2.80-2.83
5 I 0.0000 0.0000 0.0000  6 Sm 3.47
6 I 0.0000 0.5000 0.0000  6 Sm 3.48-3.51

***

Sm6CuRh2I3 | GGA-PBE | optimized geometry

a = 7.2105 Å, b = 12.4838 Å, c = 8.3900 Å
α = 90.00°, β = 106.66°, γ = 90.00°
Closest atoms and distances in Å follow each position.
Space group C2/m (No. 12)
Inequivalent atoms, fractional coordinates:
1 Sm 0.2206 0.0000 0.1851  2 Rh 2.80, 1 Cu 2.87
2 Sm 0.2324 0.3294 0.1856  2 Rh 2.80-2.81, 1 Cu 2.88
3 Cu 0.0000 0.5000 0.0000  6 Sm 2.87-2.88
4 Rh 0.0000 0.1668 0.0000  6 Sm 2.80-2.81
5 I 0.0000 0.0000 0.5000  6 Sm 3.45-3.51
6 I 0.0000 0.3343 0.5000  6 Sm 3.46-3.51

***

TiCuRh2I | GGA-PBE | optimized geometry

a = 4.6199 Å, b = 4.6199 Å, c = 4.7962 Å
α = 90.00°, β = 90.00°, γ = 90.00°
Closest atoms and distances in Å follow each position.
Space group P4/mmm (No. 123)
Inequivalent atoms, fractional coordinates:
1 Ti 0.0000 0.0000 0.0000  4 Rh 2.31, 2 Cu 2.40
2 Cu 0.0000 0.0000 0.5000  2 Ti 2.40
3 Rh 0.0000 0.5000 0.0000  2 Ti 2.31
4 I 0.5000 0.5000 0.5000  4 Cu 3.27, 8 Rh 3.33

***

Number 1: formation energy from raw total energies -627 meV per atom, DFT total energy -3.136 eV/atom. Number 2: formation energy from raw total energies 1040 meV per atom, DFT total energy -3.871 eV/atom. Number 3: formation energy from raw total energies 1223 meV per atom, DFT total energy -3.688 eV/atom. Number 4: formation energy from raw total energies 1160 meV per atom, DFT total energy -6.475 eV/atom. Number 5: formation energy from raw total energies 1243 meV per atom, DFT total energy -6.392 eV/atom. Number 6: formation energy from raw total energies 957 meV per atom, DFT total energy -4.310 eV/atom. Number 7: formation energy from raw total energies 1078 meV per atom, DFT total energy -3.676 eV/atom. Number 8: formation energy from raw total energies 1417 meV per atom, DFT total energy -3.336 eV/atom. Number 9: formation energy from raw total energies 1441 meV per atom, DFT total energy -3.827 eV/atom. Number 10: formation energy from raw total energies 2023 meV per atom, DFT total energy -4.276 eV/atom. Number 11: formation energy from raw total energies 1338 meV per atom, DFT total energy -3.219 eV/atom. Number 12: formation energy from raw total energies 990 meV per atom, DFT total energy -3.567 eV/atom. Number 13: formation energy from raw total energies 940 meV per atom, DFT total energy -5.208 eV/atom. Number 14: formation energy from raw total energies 557 meV per atom, DFT total energy -4.332 eV/atom. Number 15: formation energy from raw total energies 493 meV per atom, DFT total energy -2.726 eV/atom. Number 16: formation energy from raw total energies 683 meV per atom, DFT total energy -2.954 eV/atom. Number 17: formation energy from raw total energies 211 meV per atom, DFT total energy -3.426 eV/atom. Number 18: formation energy from raw total energies -87 meV per atom, DFT total energy -2.671 eV/atom. Number 19: formation energy from raw total energies -135 meV per atom, DFT total energy -3.077 eV/atom. Number 20: formation energy from raw total energies -77 meV per atom, DFT total energy -2.617 eV/atom. Number 21: formation energy from raw total energies 505 meV per atom, DFT total energy -4.384 eV/atom. Number 22: formation energy from raw total energies 558 meV per atom, DFT total energy -3.176 eV/atom. Number 23: formation energy from raw total energies -839 meV per atom, DFT total energy -5.220 eV/atom. Number 24: formation energy from raw total energies -803 meV per atom, DFT total energy -5.117 eV/atom. Number 25: formation energy from raw total energies 722 meV per atom, DFT total energy -4.926 eV/atom.